Here is a relaxed DyPaS4 crystal from Alexandria. Energies are from PBE.

Results
Distance to the lowest polymorph of the same formula   0.00 eV per formula unit
Energy relative to the elements, uncorrected   -1.758 eV per atom
Fermi-level density of states   0.00 states/eV/cell

Cell lengths 6.8962, 4.0733, 6.9125 Å; angles 90.00, 108.44, 90.00 degrees
Fractional positions:
Dy1 0.0000 0.0000 0.0000
Pa1 0.0000 0.5000 0.5000
S1 0.2087 0.5000 0.2442
S2 0.2120 0.0000 0.7211
S3 0.7880 0.0000 0.2789
S4 0.7913 0.5000 0.7558